{"formula": "Pm4CoHCl2", "functional": "PBE-GGA", "state": "relaxed", "lattice": [[-0.359, -3.361, 1.884], [6.395, -1.171, -0.870], [-0.643, 3.782, 6.626]], "species": ["Pm", "Pm", "Pm", "Pm", "Co", "H", "Cl", "Cl"], "fractional_positions": [[0.500, 0.245, 0.202], [0.500, 0.755, 0.798], [0.000, 0.264, 0.795], [0.000, 0.736, 0.205], [0.000, 0.000, 0.000], [0.500, 0.500, 0.000], [0.500, 0.000, 0.500], [0.000, 0.500, 0.500]], "dft_energy_ev_per_atom": -4.9856, "rho_g_cm3": 6.34}